[1]
Tb2GaSn | PBE | optimized geometry

Summary:
* calculated total energy: -38.3 eV for the cell shown
* crystal system: monoclinic

Lattice parameters (Å, degrees): 6.0343 4.1620 8.7321 90.00 107.86 90.00
Space group P2_1/m (No. 11)
Inequivalent atoms, fractional coordinates:
Tb 0.1980 0.2500 0.4253 [2 per cell]
Tb 0.2810 0.7500 0.0640 [2 per cell]
Ga 0.1226 0.2500 0.7929 [2 per cell]
Sn 0.3739 0.7500 0.7104 [2 per cell]

***

[2]
Ga2TcSn | PBE | optimized geometry

Summary:
* calculated total energy: -75.4 eV for the cell shown
* crystal system: cubic

Lattice parameters (Å, degrees): 6.5953 6.5953 6.5953 90.00 90.00 90.00
Space group F-43m (No. 216)
Inequivalent atoms, fractional coordinates:
Ga 0.0000 0.0000 0.0000 [4 per cell]
Ga 0.2500 0.2500 0.2500 [4 per cell]
Tc 0.2500 0.2500 0.7500 [4 per cell]
Sn 0.0000 0.0000 0.5000 [4 per cell]

***

[3]
GaTc2Sn2 | PBE | optimized geometry

Summary:
* calculated total energy: -59.8 eV for the cell shown
* crystal system: tetragonal

Lattice parameters (Å, degrees): 3.6187 3.6187 15.8477 90.00 90.00 90.00
Space group I4/mmm (No. 139)
Inequivalent atoms, fractional coordinates:
Ga 0.0000 0.0000 0.0000 [2 per cell]
Tc 0.0000 0.5000 0.2500 [4 per cell]
Sn 0.0000 0.0000 0.3882 [4 per cell]

***

[4]
TmGaSnTe3 | PBE | optimized geometry

Summary:
* calculated total energy: -96.5 eV for the cell shown
* crystal system: orthorhombic

Lattice parameters (Å, degrees): 4.4318 14.8105 11.0420 90.00 90.00 90.00
Space group Cmcm (No. 63)
Inequivalent atoms, fractional coordinates:
Tm 0.0000 0.0000 0.0000 [4 per cell]
Ga 0.0000 0.4630 0.2500 [4 per cell]
Sn 0.0000 0.2553 0.7500 [4 per cell]
Te 0.0000 0.0954 0.2500 [4 per cell]
Te 0.0000 0.3556 0.0387 [8 per cell]

***

[5]
Tm2GaSn | PBE | optimized geometry

Summary:
* calculated total energy: -37.2 eV for the cell shown
* crystal system: orthorhombic

Lattice parameters (Å, degrees): 4.1089 4.3915 10.9857 90.00 90.00 90.00
Space group Amm2 (No. 38)
Inequivalent atoms, fractional coordinates:
Tm 0.0000 0.0000 0.0000 [2 per cell]
Tm 0.5000 0.0000 0.2788 [2 per cell]
Ga 0.0000 0.0000 0.7329 [2 per cell]
Sn 0.5000 0.0000 0.5615 [2 per cell]

***

[6]
UGa2Sn | PBE | optimized geometry

Summary:
* calculated total energy: -22.2 eV for the cell shown
* crystal system: tetragonal

Lattice parameters (Å, degrees): 4.4312 4.4312 4.2577 90.00 90.00 90.00
Space group P4/mmm (No. 123)
Inequivalent atoms, fractional coordinates:
U 0.0000 0.0000 0.0000 [1 per cell]
Ga 0.0000 0.5000 0.5000 [2 per cell]
Sn 0.5000 0.5000 0.0000 [1 per cell]

***

[7]
GaSnW | PBE | optimized geometry

Summary:
* calculated total energy: -67.8 eV for the cell shown
* energy relative to the lowest polymorph listed for this composition: 252 meV/atom
* crystal system: cubic

Lattice parameters (Å, degrees): 6.2648 6.2648 6.2648 90.00 90.00 90.00
Space group F-43m (No. 216)
Inequivalent atoms, fractional coordinates:
Ga 0.0000 0.0000 0.0000 [4 per cell]
Sn 0.2500 0.2500 0.7500 [4 per cell]
W 0.2500 0.2500 0.2500 [4 per cell]

***

[8]
GaSnW | PBE | optimized geometry

Summary:
* calculated total energy: -70.9 eV for the cell shown
* energy relative to the lowest polymorph listed for this composition: 0 meV/atom
* crystal system: cubic

Lattice parameters (Å, degrees): 6.3921 6.3921 6.3921 90.00 90.00 90.00
Space group F-43m (No. 216)
Inequivalent atoms, fractional coordinates:
Ga 0.0000 0.0000 0.0000 [4 per cell]
Sn 0.0000 0.0000 0.5000 [4 per cell]
W 0.2500 0.2500 0.2500 [4 per cell]

***

[9]
Zn2Ga2Sn | PBE | optimized geometry

Summary:
* calculated total energy: -24.7 eV for the cell shown
* crystal system: tetragonal

Lattice parameters (Å, degrees): 4.0400 4.0400 11.7831 90.00 90.00 90.00
Space group I4/mmm (No. 139)
Inequivalent atoms, fractional coordinates:
Zn 0.0000 0.0000 0.1043 [4 per cell]
Ga 0.0000 0.5000 0.2500 [4 per cell]
Sn 0.0000 0.0000 0.5000 [2 per cell]

***

[10]
ZrGaSn | PBE | optimized geometry

Summary:
* calculated total energy: -61.0 eV for the cell shown
* energy relative to the lowest polymorph listed for this composition: 46 meV/atom
* crystal system: cubic

Lattice parameters (Å, degrees): 6.5469 6.5469 6.5469 90.00 90.00 90.00
Space group F-43m (No. 216)
Inequivalent atoms, fractional coordinates:
Zr 0.0000 0.0000 0.0000 [4 per cell]
Ga 0.2500 0.2500 0.7500 [4 per cell]
Sn 0.0000 0.0000 0.5000 [4 per cell]

***

[11]
ZrGa2Sn | PBE | optimized geometry

Summary:
* calculated total energy: -72.8 eV for the cell shown
* crystal system: cubic

Lattice parameters (Å, degrees): 7.0438 7.0438 7.0438 90.00 90.00 90.00
Space group F-43m (No. 216)
Inequivalent atoms, fractional coordinates:
Zr 0.0000 0.0000 0.0000 [4 per cell]
Ga 0.0000 0.0000 0.5000 [4 per cell]
Ga 0.2500 0.2500 0.2500 [4 per cell]
Sn 0.2500 0.2500 0.7500 [4 per cell]

***

[12]
Zr6GaSn2 | PBE | optimized geometry

Summary:
* calculated total energy: -66.8 eV for the cell shown
* crystal system: hexagonal

Lattice parameters (Å, degrees): 7.7719 7.7719 3.8504 90.00 90.00 120.00
Space group P-62m (No. 189)
Inequivalent atoms, fractional coordinates:
Zr 0.0000 0.3971 0.0000 [3 per cell]
Zr 0.0000 0.7510 0.5000 [3 per cell]
Ga 0.0000 0.0000 0.0000 [1 per cell]
Sn 0.3333 0.6667 0.5000 [2 per cell]